(1)
A crystal of LiMo2Pt relaxed with PBEsol, computed with meta-GGA SCAN.

a b c (Å): 3.050 4.095 4.537
angles (deg): 90.00 90.00 90.00
Positions (direct):
Li  0.000  0.000  0.000
Mo  0.000  0.500  0.500
Mo  0.500  0.000  0.500
Pt  0.500  0.500  0.000

Values from the calculation:
DFT formation energy (eV per formula unit): -0.21
Symmetry: Pmmm (47)

(2)
A crystal of Li2MoPt relaxed with PBEsol, computed with meta-GGA SCAN.

a b c (Å): 4.620 4.620 5.020
angles (deg): 96.44 96.44 33.31
Positions (direct):
Li  0.000  0.000  0.000
Li  0.242  0.242  0.809
Mo  0.480  0.480  0.478
Pt  0.731  0.731  0.302

Values from the calculation:
DFT formation energy (eV per formula unit): -0.42
Symmetry: Cm (8)

(3)
A crystal of LiMo2Pt relaxed with PBEsol, computed with meta-GGA SCAN.

a b c (Å): 4.320 4.320 4.320
angles (deg): 60.00 60.00 60.00
Positions (direct):
Li  0.000  0.000  0.000
Mo  0.500  0.500  0.500
Mo  0.750  0.750  0.750
Pt  0.250  0.250  0.250

Values from the calculation:
DFT formation energy (eV per formula unit): -0.17
Symmetry: F-43m (216)

(4)
A crystal of LiMoPt relaxed with PBEsol, computed with meta-GGA SCAN.

a b c (Å): 4.589 4.589 4.589
angles (deg): 146.12 128.34 63.22
Positions (direct):
Li  0.000  0.000  0.000
Mo  0.324  0.324  0.000
Pt  0.663  0.663  0.000

Values from the calculation:
DFT formation energy (eV per formula unit): -0.51
Symmetry: Imm2 (44)

(5)
A crystal of LiMo2Pt relaxed with PBEsol, computed with meta-GGA SCAN.

a b c (Å): 3.370 3.370 5.093
angles (deg): 90.00 90.00 90.00
Positions (direct):
Li  0.000  0.000  0.000
Mo  0.500  0.500  0.224
Mo  0.500  0.500  0.776
Pt  0.000  0.000  0.500

Values from the calculation:
DFT formation energy (eV per formula unit): 0.78
Symmetry: P4/mmm (123)

(6)
A crystal of LiMo2Pt relaxed with PBEsol, computed with meta-GGA SCAN.

a b c (Å): 4.341 4.341 4.341
angles (deg): 60.00 60.00 60.00
Positions (direct):
Li  0.000  0.000  0.000
Mo  0.250  0.250  0.250
Mo  0.750  0.750  0.750
Pt  0.500  0.500  0.500

Values from the calculation:
DFT formation energy (eV per formula unit): 1.39
Symmetry: Fm-3m (225)

(7)
A crystal of Rb3LiMo relaxed with PBEsol, computed with meta-GGA SCAN.

a b c (Å): 7.086 7.086 7.086
angles (deg): 90.00 90.00 90.00
Positions (direct):
Rb  0.000  0.000  0.500
Rb  0.000  0.500  0.000
Rb  0.500  0.000  0.000
Li  0.500  0.500  0.500
Mo  0.000  0.000  0.000

Values from the calculation:
DFT formation energy (eV per formula unit): 5.35
Symmetry: Pm-3m (221)

(8)
A crystal of Rb2LiMo relaxed with PBEsol, computed with meta-GGA SCAN.

a b c (Å): 7.868 7.868 7.868
angles (deg): 101.18 101.18 127.76
Positions (direct):
Rb  0.117  0.625  0.992
Rb  0.375  0.367  0.492
Rb  0.633  0.125  0.008
Rb  0.875  0.883  0.508
Li  0.000  0.000  0.000
Li  0.750  0.250  0.500
Mo  0.250  0.750  0.500
Mo  0.500  0.500  0.000

Values from the calculation:
DFT formation energy (eV per formula unit): 4.86
Symmetry: I-42d (122)

(9)
A crystal of Rb2LiTeMo relaxed with PBEsol, computed with meta-GGA SCAN.

a b c (Å): 6.584 6.584 4.792
angles (deg): 90.00 90.00 90.00
Positions (direct):
Rb  0.000  0.500  0.000
Rb  0.500  0.000  0.000
Li  0.000  0.000  0.000
Te  0.000  0.000  0.500
Mo  0.500  0.500  0.500

Values from the calculation:
Symmetry: P4/mmm (123)
Formation energy (no corrections) (meV per atom): 408

(10)
A crystal of Li2ReMo relaxed with PBEsol, computed with meta-GGA SCAN.

a b c (Å): 2.523 4.297 5.476
angles (deg): 90.00 96.42 90.00
Positions (direct):
Li  0.000  0.000  0.000
Li  0.129  0.500  0.776
Re  0.440  0.000  0.497
Mo  0.679  0.500  0.296

Values from the calculation:
DFT formation energy (eV per formula unit): 0.95
Symmetry: Pm (6)

(11)
A crystal of Li2ReMo relaxed with PBEsol, computed with meta-GGA SCAN.

a b c (Å): 5.346 5.346 5.346
angles (deg): 101.71 101.71 126.45
Positions (direct):
Li  0.122  0.625  0.997
Li  0.375  0.372  0.497
Li  0.628  0.125  0.003
Li  0.875  0.878  0.503
Re  0.000  0.000  0.000
Re  0.750  0.250  0.500
Mo  0.250  0.750  0.500
Mo  0.500  0.500  0.000

Values from the calculation:
DFT formation energy (eV per formula unit): 4.13
Symmetry: I-42d (122)

(12)
A crystal of Li2ReMo relaxed with PBEsol, computed with meta-GGA SCAN.

a b c (Å): 3.009 4.072 4.717
angles (deg): 90.00 90.00 90.00
Positions (direct):
Li  0.000  0.000  0.000
Li  0.500  0.500  0.000
Re  0.000  0.500  0.500
Mo  0.500  0.000  0.500

Values from the calculation:
DFT formation energy (eV per formula unit): 1.34
Symmetry: Pmmm (47)